A geometry-optimized Ho4TmIn2 structure. Source: Alexandria via LeMat-Bulk, functional PBE-GGA.

energy of formation	0.063	eV/atom
excess energy over the best structure of this formula in the dataset	0.157	eV per atom

Structure (POSCAR):
```
Ho4TmIn2
1.0
2.605 1.504 9.686
-2.605 1.504 9.686
0.000 -3.008 9.686
Ho Tm In
4 1 2
direct
0.118 0.118 0.118
0.289 0.289 0.289
0.711 0.711 0.711
0.882 0.882 0.882
0.500 0.500 0.500
0.398 0.398 0.398
0.602 0.602 0.602
```

=====

A geometry-optimized Tl2TcOs structure. Source: Alexandria via LeMat-Bulk, functional PBE-GGA.

energy of formation	0.474	eV/atom
excess energy over the best structure of this formula in the dataset	0.034	eV per atom

Structure (POSCAR):
```
Tl2TcOs
1.0
3.020 0.000 0.000
0.000 3.020 0.000
0.000 0.000 9.009
Tl Tc Os
2 1 1
direct
0.000 0.000 0.000
0.500 0.500 0.334
0.500 0.500 0.748
0.000 0.000 0.590
```

=====

A geometry-optimized Cs2Ce2TiS6 structure. Source: Alexandria via LeMat-Bulk, functional PBE-GGA.

raw formation energy	-1626	meV/atom

Structure (POSCAR):
```
Cs2Ce2TiS6
1.0
3.471 -5.931 0.000
3.471 5.931 0.000
-2.344 0.000 8.215
Cs Ce Ti S
2 2 1 6
direct
0.170 0.830 0.000
0.830 0.170 0.000
0.333 0.667 0.500
0.667 0.333 0.500
0.000 0.000 0.500
0.060 0.366 0.674
0.243 0.243 0.327
0.366 0.060 0.674
0.634 0.940 0.326
0.757 0.757 0.673
0.940 0.634 0.326
```

=====

A geometry-optimized MnTeS2 structure. Source: Alexandria via LeMat-Bulk, functional PBE-GGA.

raw formation energy	-262	meV/atom

Structure (POSCAR):
```
MnTeS2
1.0
3.065 0.000 0.000
0.053 7.471 0.000
0.027 1.542 8.306
Mn Te S
2 2 4
direct
0.000 0.000 0.000
0.499 0.155 0.774
0.494 0.509 0.676
0.501 0.257 0.453
0.000 0.872 0.267
0.003 0.954 0.753
0.004 0.700 0.114
0.496 0.202 0.021
```

=====

A geometry-optimized AuS3Cl structure. Source: Alexandria via LeMat-Bulk, functional PBE-GGA.

raw formation energy	169	meV/atom
excess energy over the best structure of this formula in the dataset	0.000	eV per atom

Structure (POSCAR):
```
AuS3Cl
1.0
6.158 -7.026 0.000
6.158 7.026 0.000
-2.547 0.000 6.597
Au S Cl
4 12 4
direct
0.149 0.851 0.750
0.342 0.658 0.750
0.658 0.342 0.250
0.851 0.149 0.250
0.036 0.726 0.406
0.041 0.132 0.751
0.132 0.041 0.251
0.274 0.964 0.094
0.392 0.465 0.483
0.465 0.392 0.983
0.535 0.608 0.017
0.608 0.535 0.517
0.726 0.036 0.906
0.868 0.959 0.749
0.959 0.868 0.249
0.964 0.274 0.594
0.168 0.447 0.240
0.447 0.168 0.740
0.553 0.832 0.260
0.832 0.553 0.760
```

=====

A geometry-optimized SnH6I structure. Source: Alexandria via LeMat-Bulk, functional PBE-GGA.

Structure (POSCAR):
```
SnH6I
1.0
3.505 -3.037 0.000
3.505 3.037 0.000
-0.027 0.000 5.156
Sn H I
1 6 1
direct
0.000 0.000 0.000
0.223 0.773 0.257
0.227 0.777 0.743
0.251 0.251 0.008
0.749 0.749 0.992
0.773 0.223 0.257
0.777 0.227 0.743
0.500 0.500 0.500
```

=====

| no. | DOS at the Fermi energy (states/eV/cell) | total energy (eV for the cell shown) |
| --- | --- | --- |
| 1 | 7.7 | -27.8 |
| 2 | 3.9 | -24.4 |
| 3 | 14.2 | -64.1 |
| 4 | 2.8 | -43.2 |
| 5 | 4.2 | -66.6 |
| 6 | 2.1 | -21.3 |